## Pa3Fe4Ge2 (GGA-PBE)

Data for a relaxed Pa3Fe4Ge2 crystal.

```
Pa3Fe4Ge2
1.0
-3.369 2.507 -0.771
-0.341 -2.907 3.862
3.480 6.049 4.459
Pa Fe Ge
3 4 2
direct
0.370 0.741 0.607 Pa
0.000 0.000 0.000 Pa
0.630 0.259 0.393 Pa
0.743 0.486 0.083 Fe
0.104 0.208 0.637 Fe
0.896 0.792 0.363 Fe
0.257 0.514 0.917 Fe
0.323 0.646 0.214 Ge
0.677 0.354 0.786 Ge
```

Calculated values
For the formation energy, the calculation gives -0.379 eV/atom.

## PaFeGe3 (GGA-PBE)

Data for a relaxed PaFeGe3 crystal.

```
PaFeGe3
1.0
3.964 0.000 -1.597
-0.644 3.912 -1.597
0.010 0.012 5.743
Pa Fe Ge
1 1 3
direct
0.983 0.983 0.967 Pa
0.667 0.667 0.334 Fe
0.252 0.752 0.505 Ge
0.752 0.252 0.505 Ge
0.435 0.435 0.870 Ge
```

Calculated values
For the polymorph energy (0 for the lowest one), the calculation gives 0.000 kcal/mol of atoms. For the formation energy, the calculation gives -0.363 eV/atom.

## PaFe2Ge (GGA-PBE)

Data for a relaxed PaFe2Ge crystal.

```
PaFe2Ge
1.0
-1.723 0.576 2.353
1.344 -2.175 1.517
4.496 4.336 2.233
Ge Pa Fe
1 1 2
direct
0.500 0.500 0.500 Ge
0.500 0.500 0.000 Pa
0.000 0.000 0.701 Fe
0.000 0.000 0.299 Fe
```

Calculated values
For the polymorph energy (0 for the lowest one), the calculation gives 7.164 kcal/mol of atoms. For the formation energy, the calculation gives -0.047 eV/atom.

## PaFe2Ge (GGA-PBE)

Data for a relaxed PaFe2Ge crystal.

```
PaFe2Ge
1.0
4.187 0.000 -1.397
0.000 4.289 0.000
-0.012 0.000 6.949
Pa Fe Ge
2 4 2
direct
0.888 0.250 0.776 Pa
0.112 0.750 0.224 Pa
0.252 0.250 0.503 Fe
0.748 0.750 0.497 Fe
0.453 0.250 0.906 Fe
0.547 0.750 0.094 Fe
0.353 0.750 0.705 Ge
0.647 0.250 0.295 Ge
```

Calculated values
For the polymorph energy (0 for the lowest one), the calculation gives 0.000 kcal/mol of atoms. For the formation energy, the calculation gives -0.358 eV/atom.